(1)
VASP calculation (PBE) on La3Nd7 after structural relaxation.

Cell lengths 6.6161, 11.1895, 11.1895 Å; angles 120.00, 90.00, 90.00 degrees
Closest atoms and distances in Å follow each position.
Sites, in units of the cell vectors:
La: 0.8628 0.2098 0.4195  8 Nd 3.41-3.65
La: 0.8628 0.2098 0.7902  8 Nd 3.41-3.65
La: 0.8628 0.5805 0.7902  8 Nd 3.41-3.65
La: 0.3628 0.7902 0.5805  8 Nd 3.41-3.65
La: 0.3628 0.7902 0.2098  8 Nd 3.41-3.65
La: 0.3628 0.4195 0.2098  8 Nd 3.41-3.65
Nd: 0.9817 0.6667 0.3333  3 Nd 3.17, 3 La 3.48
Nd: 0.4817 0.3333 0.6667  3 Nd 3.17, 3 La 3.48
Nd: 0.8821 0.8831 0.7662  4 La 3.53-3.88, 4 Nd 3.82-3.92
Nd: 0.8821 0.8831 0.1169  4 La 3.53-3.88, 4 Nd 3.82-3.92
Nd: 0.8821 0.2338 0.1169  4 La 3.53-3.88, 4 Nd 3.82-3.92
Nd: 0.3821 0.1169 0.2338  4 La 3.53-3.88, 4 Nd 3.82-3.92
Nd: 0.3821 0.1169 0.8831  4 La 3.53-3.88, 4 Nd 3.82-3.92
Nd: 0.3821 0.7662 0.8831  4 La 3.53-3.88, 4 Nd 3.82-3.92
Nd: 0.2306 0.4724 0.9448  3 Nd 3.17-3.48, 4 La 3.41-3.53
Nd: 0.2306 0.4724 0.5276  3 Nd 3.17-3.48, 4 La 3.41-3.53
Nd: 0.2306 0.0552 0.5276  3 Nd 3.17-3.48, 4 La 3.41-3.53
Nd: 0.7306 0.5276 0.0552  3 Nd 3.17-3.48, 4 La 3.41-3.53
Nd: 0.7306 0.5276 0.4724  3 Nd 3.17-3.48, 4 La 3.41-3.53
Nd: 0.7306 0.9448 0.4724  3 Nd 3.17-3.48, 4 La 3.41-3.53

V: 35.87 A^3/atom

(2)
VASP calculation (PBE) on Ge3PIr after structural relaxation.

Cell lengths 4.5842, 4.5842, 4.5842 Å; angles 90.00, 90.00, 90.00 degrees
Closest atoms and distances in Å follow each position.
Sites, in units of the cell vectors:
P: 0.0000 0.0000 0.0000  6 Ge 2.29
Ge: 0.0000 0.5000 0.0000  2 P 2.29
Ge: 0.0000 0.0000 0.5000  2 P 2.29
Ge: 0.5000 0.0000 0.0000  2 P 2.29
Ir: 0.5000 0.5000 0.5000  12 Ge 3.24

V: 19.27 A^3/atom

Computed values of formation energy from the elements (unit: kJ per mole of atoms) for the preceding records, in sequence: 14.8; 96.3.
Computed values of total magnetization (unit: μB/cell) for the preceding records, in sequence: 0.0; 0.0.
Computed values of density of states at the Fermi level (unit: states/eV per atom) for the preceding records, in sequence: 1.781; 0.609.